A plane-wave DFT calculation with PBE+U was carried out for an optimized crystal structure of Tb2CoSiO6.

Values from the calculation:
- calculated total energy (hartree per atom) = -0.2855
- DOS(E_F) (states/eV/atom) = 0.00
- calculated density (g cm⁻³) = 7.7
- space group = No. 14

POSCAR file:
```
Tb2CoSiO6
1.0
-1.732 -0.275 -4.946
-2.222 -4.943 1.053
-6.392 3.302 2.013
Tb Co Si O
4 2 2 12
Direct
0.017 0.934 0.250 Tb
0.517 0.566 0.750 Tb
0.983 0.066 0.750 Tb
0.483 0.434 0.250 Tb
0.500 0.000 0.000 Co
0.000 0.500 0.500 Co
0.500 0.000 0.500 Si
0.000 0.500 0.000 Si
0.281 0.681 0.046 O
0.781 0.819 0.546 O
0.719 0.319 0.954 O
0.219 0.181 0.454 O
0.323 0.722 0.446 O
0.823 0.778 0.946 O
0.677 0.278 0.554 O
0.177 0.222 0.054 O
0.903 0.530 0.231 O
0.403 0.970 0.731 O
0.097 0.470 0.769 O
0.597 0.030 0.269 O
```